! Rb2NpGeTe4 | the Alexandria database | PBE | optimized geometry; values from VASP
&SYSTEM
  ibrav = 0, nat = 8, ntyp = 4
/
ATOMIC_SPECIES
Rb 85.47 Rb.upf
Te 127.60 Te.upf
Np 237.00 Np.upf
Ge 72.64 Ge.upf
ATOMIC_POSITIONS crystal
Rb 0.5000 0.0000 0.5000
Rb 0.0000 0.0000 0.0000
Te 0.0000 0.3121 0.2316
Te 0.5000 0.6926 0.2670
Te 0.0000 0.6879 0.7684
Te 0.5000 0.3074 0.7330
Np 0.0000 0.5000 0.5000
Ge 0.5000 0.5000 0.0000
CELL_PARAMETERS angstrom
4.5474 0.0000 0.0000
0.0000 8.7609 -0.5158
0.0000 2.7405 7.3983
! Uncorrected energy, eV per atom: -4.685
! N(E_F), states/eV/cell: 5.6
! M_tot, Bohr magnetons per cell: 3.00
! Symmetry: P2/m
! ΔE_f (raw), eV per atom: -0.68

=====

! Rb3Np3GeTe8 | the Alexandria database | PBE | optimized geometry; values from VASP
&SYSTEM
  ibrav = 0, nat = 15, ntyp = 4
/
ATOMIC_SPECIES
Te 127.60 Te.upf
Np 237.00 Np.upf
Ge 72.64 Ge.upf
Rb 85.47 Rb.upf
ATOMIC_POSITIONS crystal
Te 0.7704 0.5422 0.3107
Te 0.7338 0.4671 0.7010
Te 0.2662 0.5329 0.2990
Te 0.7713 0.0403 0.3116
Te 0.7314 0.9596 0.6892
Te 0.2287 0.9597 0.6884
Te 0.2686 0.0404 0.3108
Te 0.2296 0.4578 0.6893
Np 0.0000 0.5000 0.5000
Np 0.5000 0.5000 0.5000
Np 0.5000 0.0000 0.5000
Ge 0.0000 0.0000 0.5000
Rb 0.0000 0.0000 0.0000
Rb 0.0000 0.5000 0.0000
Rb 0.5000 0.5000 0.0000
CELL_PARAMETERS angstrom
-7.6342 -3.8443 2.9500
7.7742 -4.6114 0.2631
-1.1313 7.3858 6.7510
! Uncorrected energy, eV per atom: -5.481
! N(E_F), states/eV/cell: 16.7
! M_tot, Bohr magnetons per cell: 3.44
! Symmetry: C2/m
! ΔE_f (raw), eV per atom: -0.72

=====

! NpRe2Ge | the Alexandria database | PBE | optimized geometry; values from VASP
&SYSTEM
  ibrav = 0, nat = 4, ntyp = 3
/
ATOMIC_SPECIES
Re 186.21 Re.upf
Np 237.00 Np.upf
Ge 72.64 Ge.upf
ATOMIC_POSITIONS crystal
Re 0.0952 0.0952 0.7143
Re 0.9048 0.9048 0.2857
Np 0.0000 0.0000 0.0000
Ge 0.5000 0.5000 0.5000
CELL_PARAMETERS angstrom
-1.6121 -0.3462 2.3994
-2.7594 -0.9023 -0.2179
1.3781 -9.2399 1.3591
! Formation energy from the elements, meV/atom: 640.1
! Uncorrected energy, eV per atom: -9.973
! N(E_F), states/eV/cell: 5.4
! M_tot, Bohr magnetons per cell: 3.31
! Symmetry: R-3m

=====

! NpRe2Ge2 | the Alexandria database | PBE | optimized geometry; values from VASP
&SYSTEM
  ibrav = 0, nat = 10, ntyp = 3
/
ATOMIC_SPECIES
Np 237.00 Np.upf
Ge 72.64 Ge.upf
Re 186.21 Re.upf
ATOMIC_POSITIONS crystal
Np 0.3586 0.2500 0.7172
Np 0.6414 0.7500 0.2828
Ge 0.2512 0.7500 0.5023
Ge 0.1175 0.2500 0.2350
Ge 0.8825 0.7500 0.7650
Ge 0.7488 0.2500 0.4977
Re 0.4632 0.7500 0.9263
Re 0.9606 0.2500 0.9211
Re 0.5368 0.2500 0.0737
Re 0.0394 0.7500 0.0789
CELL_PARAMETERS angstrom
4.0420 0.0000 -0.7185
0.0000 4.1477 0.0000
-0.1215 0.0000 11.0457
! Formation energy from the elements, meV/atom: -61.9
! Uncorrected energy, eV per atom: -9.476
! N(E_F), states/eV/cell: 17.1
! M_tot, Bohr magnetons per cell: 6.47
! Symmetry: Cmcm

=====

! Np2ReGe | the Alexandria database | PBE | optimized geometry; values from VASP
&SYSTEM
  ibrav = 0, nat = 4, ntyp = 3
/
ATOMIC_SPECIES
Re 186.21 Re.upf
Np 237.00 Np.upf
Ge 72.64 Ge.upf
ATOMIC_POSITIONS crystal
Re 0.5000 0.5000 0.0000
Np 0.0000 0.0000 0.2585
Np 0.0000 0.0000 0.7415
Ge 0.5000 0.5000 0.5000
CELL_PARAMETERS angstrom
3.7262 0.0000 0.0000
0.0000 3.7262 0.0000
0.0000 0.0000 5.5934
! Formation energy from the elements, meV/atom: 43.6
! Uncorrected energy, eV per atom: -10.693
! N(E_F), states/eV/cell: 8.7
! M_tot, Bohr magnetons per cell: 6.04
! Symmetry: P4/mmm

=====

! NpReGe2 | the Alexandria database | PBE | optimized geometry; values from VASP
&SYSTEM
  ibrav = 0, nat = 4, ntyp = 3
/
ATOMIC_SPECIES
Re 186.21 Re.upf
Ge 72.64 Ge.upf
Np 237.00 Np.upf
ATOMIC_POSITIONS crystal
Re 0.5000 0.5000 0.5000
Ge 0.0988 0.0988 0.7036
Ge 0.9012 0.9012 0.2964
Np 0.0000 0.0000 0.0000
CELL_PARAMETERS angstrom
2.9182 0.0000 0.0000
1.4591 2.5272 0.0000
1.4591 0.8424 9.9961
! Formation energy from the elements, meV/atom: 281.8
! Uncorrected energy, eV per atom: -8.374
! Excess energy over the best structure of this formula in the dataset, meV per atom: 220
! N(E_F), states/eV/cell: 3.4
! M_tot, Bohr magnetons per cell: 3.41
! Symmetry: R-3m

=====

! NpReGe2 | the Alexandria database | PBE | optimized geometry; values from VASP
&SYSTEM
  ibrav = 0, nat = 4, ntyp = 3
/
ATOMIC_SPECIES
Np 237.00 Np.upf
Ge 72.64 Ge.upf
Re 186.21 Re.upf
ATOMIC_POSITIONS crystal
Np 0.5000 0.5000 0.5000
Ge 0.0000 0.0000 0.7977
Ge 0.0000 0.0000 0.2023
Re 0.5000 0.5000 0.0000
CELL_PARAMETERS angstrom
3.1723 0.0000 0.0000
0.0000 3.1723 0.0000
0.0000 0.0000 7.0870
! Formation energy from the elements, meV/atom: 62.2
! Uncorrected energy, eV per atom: -8.594
! Excess energy over the best structure of this formula in the dataset, meV per atom: 0
! N(E_F), states/eV/cell: 7.1
! M_tot, Bohr magnetons per cell: 4.77
! Symmetry: P4/mmm

=====

! NpReTcGe | the Alexandria database | PBE | optimized geometry; values from VASP
&SYSTEM
  ibrav = 0, nat = 4, ntyp = 4
/
ATOMIC_SPECIES
Ge 72.64 Ge.upf
Tc 98.00 Tc.upf
Np 237.00 Np.upf
Re 186.21 Re.upf
ATOMIC_POSITIONS crystal
Ge 0.5000 0.5000 0.5000
Tc 0.7500 0.7500 0.7500
Np 0.0000 0.0000 0.0000
Re 0.2500 0.2500 0.2500
CELL_PARAMETERS angstrom
4.5687 0.0000 0.0000
2.2843 3.9566 0.0000
2.2843 1.3189 3.7303
! Formation energy from the elements, meV/atom: 148.8
! Uncorrected energy, eV per atom: -9.944
! N(E_F), states/eV/cell: 8.4
! M_tot, Bohr magnetons per cell: 2.21
! Symmetry: F-43m

=====

> What is the M_tot in the eighth record?

2.21 Bohr magnetons per cell